Record 1
Material: LaPmCuHg
Method: DFT, PBE-GGA
State: optimized geometry

Structure (POSCAR):
```
LaPmCuHg
1.0
-3.8435 -1.0527 -3.5221
-1.0487 -5.0315 -1.3673
-4.5172 -2.3049 1.6027
La Hg Cu Pm
1 1 1 1
Cartesian
-4.7047 -4.1945 -1.6433 La
-7.0570 -6.2918 -2.4650 Hg
-2.3523 -2.0973 -0.8217 Cu
0.0000 0.0000 0.0000 Pm
```

Output
calculated total energy	-3.802	eV/atom
SG	No. 216
energy of formation	-0.283	eV/atom



Record 2
Material: LaPmCuHg
Method: DFT, PBE-GGA
State: optimized geometry

Structure (POSCAR):
```
LaPmCuHg
1.0
3.7096 0.0000 0.0000
0.0000 3.7096 0.0000
0.0000 0.0000 7.6130
La Pm Cu Hg
1 1 1 1
Cartesian
1.8548 1.8548 0.9707 La
1.8548 1.8548 4.4398 Pm
0.0000 0.0000 2.8360 Cu
0.0000 0.0000 6.4311 Hg
```

Output
calculated total energy	-3.828	eV/atom
SG	No. 99
energy of formation	-0.309	eV/atom



Record 3
Material: La2Cu2HgPt5
Method: DFT, PBE-GGA
State: optimized geometry

Structure (POSCAR):
```
La2Cu2HgPt5
1.0
-1.9486 1.5454 3.1617
3.2623 -7.1715 5.5159
7.7557 5.2361 2.2206
La Cu Hg Pt
4 4 2 10
Cartesian
3.6046 -3.9324 4.1436 La
7.4135 1.9970 3.5929 La
3.0731 0.3958 1.7005 La
7.9450 -2.3312 6.0360 La
5.1807 2.3892 2.0251 Cu
5.8374 -4.3246 5.7115 Cu
8.8556 0.1832 5.3683 Cu
2.1625 -2.1186 2.3683 Cu
0.0000 0.0000 0.0000 Hg
5.5090 -0.9677 3.8683 Hg
0.2388 -0.3995 2.9015 Pt
8.8306 0.0095 7.9968 Pt
5.3527 4.4156 3.6997 Pt
4.7076 -2.0696 6.4719 Pt
3.7167 -4.8056 7.1986 Pt
4.3619 1.6795 4.4264 Pt
6.4010 0.4363 6.2908 Pt
2.6685 -0.8263 4.6075 Pt
0.6569 -2.8131 4.3388 Pt
2.9036 3.3907 2.6912 Pt
```

Output
calculated total energy	-5.558	eV/atom
SG	No. 127
energy of formation	-0.703	eV/atom



| no. | volume (Å³/atom) |
| --- | --- |
| 1 | 26.593 |
| 2 | 26.191 |
| 3 | 18.605 |